# 1
{"formula": "CsNpWO6", "functional": "PBE with a Hubbard U", "state": "optimized geometry", "lattice_angstrom": [[7.520, 0.000, 0.000], [0.000, 7.837, 0.000], [-3.760, -3.919, 5.460]], "species": ["O", "O", "O", "O", "O", "O", "O", "O", "O", "O", "O", "O", "Np", "Np", "Cs", "Cs", "W", "W"], "fractional_positions": [[0.171, 0.297, 0.742], [0.200, 0.950, 0.401], [0.829, 0.703, 0.258], [0.572, 0.297, 0.742], [0.171, 0.945, 0.742], [0.572, 0.945, 0.742], [0.800, 0.050, 0.599], [0.428, 0.055, 0.258], [0.428, 0.703, 0.258], [0.829, 0.055, 0.258], [0.429, 0.679, 0.857], [0.571, 0.321, 0.143], [0.500, 0.000, 0.000], [0.500, 0.500, 0.000], [0.119, 0.369, 0.238], [0.881, 0.631, 0.762], [0.000, 0.000, 0.500], [0.500, 0.000, 0.500]], "space_group": "Imma (74)", "final_energy_ha_per_atom": -0.296, "m_tot_mub_per_cell": 4.0}



# 2
{"formula": "Sr4CaFe5O15", "functional": "PBE with a Hubbard U", "state": "optimized geometry", "lattice_angstrom": [[3.905, 0.000, 0.000], [0.000, 8.716, 0.000], [0.000, 0.000, 8.716]], "species": ["O", "O", "O", "O", "O", "O", "O", "O", "O", "O", "O", "O", "O", "O", "O", "Fe", "Fe", "Fe", "Fe", "Fe", "Ca", "Sr", "Sr", "Sr", "Sr"], "fractional_positions": [[0.000, 0.098, 0.295], [0.500, 0.804, 0.902], [0.000, 0.500, 0.500], [0.500, 0.300, 0.398], [0.500, 0.196, 0.098], [0.500, 0.902, 0.196], [0.500, 0.098, 0.804], [0.000, 0.902, 0.705], [0.500, 0.398, 0.700], [0.500, 0.700, 0.602], [0.500, 0.500, 0.000], [0.500, 0.602, 0.300], [0.500, 0.000, 0.500], [0.000, 0.295, 0.902], [0.000, 0.705, 0.098], [0.500, 0.702, 0.099], [0.500, 0.500, 0.500], [0.500, 0.298, 0.901], [0.500, 0.099, 0.298], [0.500, 0.901, 0.702], [0.000, 0.000, 0.000], [0.000, 0.399, 0.199], [0.000, 0.801, 0.399], [0.000, 0.601, 0.801], [0.000, 0.199, 0.601]], "space_group": "P4/m (83)", "final_energy_ha_per_atom": -0.234, "m_tot_mub_per_cell": 21.5}